DFT (GGA+U) results for a relaxed structure of CrGe2F6.

extended XYZ file:
```
18
Lattice="5.533 -6.431 0.000 5.533 6.431 0.000 -2.873 0.000 5.080" Properties=species:S:1:pos:R:3 pbc="T T T"
Cr 3.378 5.520 3.810
Cr 4.815 -5.520 1.270
Ge 2.419 1.457 1.662
Ge 0.983 -1.457 4.202
Ge 7.210 1.457 0.878
Ge 5.774 -1.457 3.418
F 1.024 0.860 0.213
F 0.677 1.909 2.498
F -0.412 -0.860 2.753
F 0.928 0.171 5.056
F -0.759 -1.909 5.038
F 2.364 -0.171 2.516
F 5.828 0.171 2.564
F 8.952 1.909 0.042
F 7.265 -0.171 0.024
F 8.605 0.860 2.327
F 7.516 -1.909 2.582
F 7.169 -0.860 4.867
```

Density of states at the Fermi level in states/eV per atom: 0.00
Raw total energy in eV/cell: -95.4